Entry 1:
VASP calculation (PBE-GGA) on BaLaRe2 after structural relaxation.

Unit cell a=4.1017 b=4.1017 c=10.7833 alpha=90.00 beta=90.00 gamma=90.00
Space group I4/mmm (No. 139)
Asymmetric unit:
Ba: 0.0000 0.0000 0.0000 [2 per cell]
La: 0.0000 0.0000 0.5000 [2 per cell]
Re: 0.0000 0.5000 0.2500 [4 per cell]

The formation energy is 1.3263 eV per atom. The calculation puts the total magnetic moment at 0.00 μB/cell. The energy above the most stable polymorph in this dataset is 1.074 eV/atom. The density of states at the Fermi level comes out at 1.15 states/eV/atom.

---

Entry 2:
VASP calculation (PBE-GGA) on GdYAlHg after structural relaxation.

Unit cell a=7.4053 b=7.4053 c=7.4053 alpha=90.00 beta=90.00 gamma=90.00
Space group F-43m (No. 216)
Asymmetric unit:
Gd: 0.0000 0.0000 0.0000 [4 per cell]
Y: 0.0000 0.0000 0.5000 [4 per cell]
Al: 0.2500 0.2500 0.2500 [4 per cell]
Hg: 0.2500 0.2500 0.7500 [4 per cell]

The formation energy is -0.4261 eV per atom. The calculation puts the total magnetic moment at 30.74 μB/cell. The density of states at the Fermi level comes out at 0.91 states/eV/atom.

---

Entry 3:
VASP calculation (PBE-GGA) on ZnCrTe2 after structural relaxation.

Unit cell a=4.2367 b=4.2367 c=23.6730 alpha=90.00 beta=90.00 gamma=120.00
Space group R-3m (No. 166, hexagonal axes)
Asymmetric unit:
Zn: 0.0000 0.0000 0.0000 [3 per cell]
Cr: 0.0000 0.0000 0.5000 [3 per cell]
Te: 0.0000 0.0000 0.1076 [6 per cell]

The formation energy from raw total energies is 0.0 kcal/mol of atoms. The calculation puts the total magnetic moment at 11.79 μB/cell. The density of states at the Fermi level comes out at 0.38 states/eV/atom.